Entry from the Alexandria database: a relaxed Y3Ga6Au20 crystal (GGA-PBE).

Cell lengths 9.278, 9.278, 9.278 Å; angles 60.00, 60.00, 60.00 degrees
Atoms (fractional coordinates):
Y 0.000 0.000 0.000
Y 0.250 0.250 0.250
Y 0.750 0.750 0.750
Ga 0.268 0.268 0.732
Ga 0.268 0.732 0.268
Ga 0.268 0.732 0.732
Ga 0.732 0.268 0.268
Ga 0.732 0.268 0.732
Ga 0.732 0.732 0.268
Au 0.000 0.000 0.346
Au 0.000 0.000 0.654
Au 0.000 0.346 0.000
Au 0.000 0.346 0.654
Au 0.000 0.654 0.000
Au 0.000 0.654 0.346
Au 0.140 0.620 0.620
Au 0.346 0.000 0.000
Au 0.346 0.000 0.654
Au 0.346 0.654 0.000
Au 0.380 0.380 0.380
Au 0.380 0.380 0.860
Au 0.380 0.860 0.380
Au 0.620 0.140 0.620
Au 0.620 0.620 0.140
Au 0.620 0.620 0.620
Au 0.654 0.000 0.000
Au 0.654 0.000 0.346
Au 0.654 0.346 0.000
Au 0.860 0.380 0.380

Calculated values
Formation energy in meV per atom: -287


Entry from the Alexandria database: a relaxed CdSnHg3 crystal (GGA-PBE).

Cell lengths 5.764, 5.764, 5.764 Å; angles 90.00, 90.00, 90.00 degrees
Atoms (fractional coordinates):
Cd 0.000 0.000 0.000
Sn 0.500 0.500 0.500
Hg 0.000 0.500 0.500
Hg 0.500 0.000 0.500
Hg 0.500 0.500 0.000

Calculated values
Formation energy in meV per atom: 187
Energy above the lowest structure with this stoichiometry in eV/f.u.: 0.73


Entry from the Alexandria database: a relaxed Mn2Al2Ge crystal (GGA-PBE).

Cell lengths 6.006, 6.006, 3.875 Å; angles 90.00, 90.00, 90.00 degrees
Atoms (fractional coordinates):
Mn 0.137 0.363 0.000
Mn 0.363 0.863 0.000
Mn 0.637 0.137 0.000
Mn 0.863 0.637 0.000
Al 0.159 0.659 0.500
Al 0.341 0.159 0.500
Al 0.659 0.841 0.500
Al 0.841 0.341 0.500
Ge 0.000 0.000 0.000
Ge 0.500 0.500 0.000

Calculated values
Formation energy in meV per atom: -120
Energy above the lowest structure with this stoichiometry in eV/f.u.: 0.00


Entry from the Alexandria database: a relaxed BaNaTbBr6 crystal (GGA-PBE).

Cell lengths 7.531, 7.531, 13.873 Å; angles 90.00, 90.00, 120.00 degrees
Atoms (fractional coordinates):
Ba 0.000 0.000 0.000
Ba 0.000 0.000 0.500
Na 0.333 0.667 0.250
Na 0.667 0.333 0.750
Tb 0.333 0.667 0.750
Tb 0.667 0.333 0.250
Br 0.017 0.367 0.633
Br 0.017 0.650 0.867
Br 0.350 0.367 0.867
Br 0.350 0.983 0.633
Br 0.367 0.017 0.133
Br 0.367 0.350 0.367
Br 0.633 0.650 0.633
Br 0.633 0.983 0.867
Br 0.650 0.017 0.367
Br 0.650 0.633 0.133
Br 0.983 0.350 0.133
Br 0.983 0.633 0.367

Calculated values
Formation energy from raw total energies in meV per atom: -1904


Entry from the Alexandria database: a relaxed Mn2Tc crystal (GGA-PBE).

Cell lengths 5.193, 3.669, 7.872 Å; angles 90.00, 90.00, 90.00 degrees
Atoms (fractional coordinates):
Mn 0.118 0.250 0.244
Mn 0.121 0.250 0.911
Mn 0.379 0.750 0.411
Mn 0.382 0.750 0.744
Mn 0.618 0.250 0.256
Mn 0.621 0.250 0.589
Mn 0.879 0.750 0.089
Mn 0.882 0.750 0.756
Tc 0.133 0.250 0.584
Tc 0.367 0.750 0.084
Tc 0.633 0.250 0.916
Tc 0.867 0.750 0.416

Calculated values
Formation energy in meV per atom: 102
Energy above the lowest structure with this stoichiometry in eV/f.u.: 0.55


Entry from the Alexandria database: a relaxed Rb2NaLiAu crystal (GGA-PBE).

Cell lengths 6.839, 6.839, 5.181 Å; angles 90.00, 90.00, 90.00 degrees
Atoms (fractional coordinates):
Rb 0.000 0.500 0.000
Rb 0.500 0.000 0.000
Na 0.000 0.000 0.500
Li 0.500 0.500 0.500
Au 0.500 0.500 0.000

Calculated values
Formation energy in meV per atom: -64